A plane-wave DFT calculation with GGA+U was carried out for a relaxed HfNiIO2 crystal. Values from VASP.

- Crystal system: tetragonal

Structure (Quantum ESPRESSO input):
```
&SYSTEM
  ibrav = 0, nat = 5, ntyp = 4
/
ATOMIC_SPECIES
Hf 178.49 Hf.upf
Ni 58.69 Ni.upf
I 126.90 I.upf
O 16.00 O.upf
CELL_PARAMETERS angstrom
4.009 0.000 0.000
0.000 4.009 0.000
0.000 0.000 6.193
ATOMIC_POSITIONS crystal
Hf 0.000 0.000 0.000
Ni 0.500 0.500 0.500
I 0.000 0.000 0.500
O 0.000 0.500 0.000
O 0.500 0.000 0.000
```


A plane-wave DFT calculation with GGA+U was carried out for a relaxed HfNiI2O crystal. Values from VASP.

- Crystal system: tetragonal

Structure (Quantum ESPRESSO input):
```
&SYSTEM
  ibrav = 0, nat = 5, ntyp = 4
/
ATOMIC_SPECIES
Hf 178.49 Hf.upf
Ni 58.69 Ni.upf
I 126.90 I.upf
O 16.00 O.upf
CELL_PARAMETERS angstrom
5.575 0.000 0.000
0.000 5.575 0.000
0.000 0.000 3.544
ATOMIC_POSITIONS crystal
Hf 0.000 0.000 0.000
Ni 0.500 0.500 0.500
I 0.000 0.500 0.500
I 0.500 0.000 0.500
O 0.500 0.500 0.000
```


A plane-wave DFT calculation with GGA+U was carried out for a relaxed HfNiIO2 crystal. Values from VASP.

- Crystal system: tetragonal

Structure (Quantum ESPRESSO input):
```
&SYSTEM
  ibrav = 0, nat = 5, ntyp = 4
/
ATOMIC_SPECIES
Hf 178.49 Hf.upf
Ni 58.69 Ni.upf
I 126.90 I.upf
O 16.00 O.upf
CELL_PARAMETERS angstrom
4.060 0.000 0.000
0.000 4.060 0.000
0.000 0.000 4.795
ATOMIC_POSITIONS crystal
Hf 0.000 0.000 0.000
Ni 0.500 0.500 0.500
I 0.500 0.500 0.000
O 0.000 0.500 0.500
O 0.500 0.000 0.500
```


A plane-wave DFT calculation with GGA+U was carried out for a relaxed HfNiI2O crystal. Values from VASP.

- Crystal system: tetragonal

Structure (Quantum ESPRESSO input):
```
&SYSTEM
  ibrav = 0, nat = 5, ntyp = 4
/
ATOMIC_SPECIES
Hf 178.49 Hf.upf
Ni 58.69 Ni.upf
I 126.90 I.upf
O 16.00 O.upf
CELL_PARAMETERS angstrom
5.739 0.000 0.000
0.000 5.739 0.000
0.000 0.000 3.931
ATOMIC_POSITIONS crystal
Hf 0.000 0.000 0.000
Ni 0.500 0.500 0.500
I 0.000 0.500 0.000
I 0.500 0.000 0.000
O 0.000 0.000 0.500
```


| no. | total DFT energy (no corrections) (eV per atom) | offset from the most stable computed form (meV/atom) | magnetization (μB per atom) |
| --- | --- | --- | --- |
| 1 | -6.232 | 0 | 0.212 |
| 2 | -3.943 | 529 | 0.434 |
| 3 | -4.754 | 1478 | 0.282 |
| 4 | -4.472 | 0 | 0.013 |